Compound: Cs5Pu2F12
Source: Alexandria
Functional: PBE
Structure: optimized geometry

SG   C2/m (12)
ΔE_f (raw)   -3.142 eV per atom

a b c (Å): 7.5348 8.2664 8.2664
angles (deg): 60.56 75.28 75.28
Each line ends with the local moment (μB).
Fractional coordinates of all 19 atoms:
1 F 0.7770 0.3523 0.9382  -0.01
2 F 0.8003 0.6176 0.1983  -0.01
3 F 0.8003 0.1983 0.6176  -0.01
4 F 0.2230 0.0618 0.6477  -0.01
5 F 0.8807 0.9596 0.9596  -0.01
6 F 0.1997 0.3824 0.8017  -0.01
7 F 0.7770 0.9382 0.3523  -0.01
8 F 0.1193 0.0404 0.0404  -0.01
9 F 0.1487 0.4336 0.4336  -0.01
10 F 0.1997 0.8017 0.3824  -0.01
11 F 0.8513 0.5664 0.5664  -0.01
12 F 0.2230 0.6477 0.0618  -0.01
13 Cs 0.5390 0.3332 0.3332  0.00
14 Cs 0.0598 0.2462 0.2462  0.00
15 Cs 0.5000 0.0000 0.0000  0.00
16 Cs 0.9402 0.7538 0.7538  0.00
17 Cs 0.4610 0.6668 0.6668  0.00
18 Pu 0.0000 0.2502 0.7498  4.52
19 Pu 0.0000 0.7498 0.2502  4.52

***

Compound: Os2W
Source: Alexandria
Functional: PBE
Structure: optimized geometry

SG   P6/mmm (191)
Relative energy among the computed polymorphs   0.178 eV per atom

a b c (Å): 4.3627 4.3627 2.7667
angles (deg): 90.00 90.00 120.00
Fractional coordinates of all 3 atoms:
1 Os 0.6667 0.3333 0.0000
2 Os 0.3333 0.6667 0.0000
3 W 0.0000 0.0000 0.5000

***

Compound: Co2SiHgRu
Source: Alexandria
Functional: PBE
Structure: optimized geometry

SG   P4/mmm (123)
ΔE_f (raw)   1.040 eV per atom

a b c (Å): 4.1785 4.8222 4.1785
angles (deg): 90.00 90.00 90.00
Each line ends with the local moment (μB).
Fractional coordinates of all 5 atoms:
1 Ru 0.5000 0.5000 0.5000  1.89
2 Hg 0.0000 0.5000 0.0000  -0.04
3 Co 0.0000 0.0000 0.5000  0.91
4 Co 0.5000 0.0000 0.0000  1.22
5 Si 0.0000 0.0000 0.0000  -0.04

***

Compound: YAlCu2H
Source: Alexandria
Functional: PBE
Structure: optimized geometry

SG   P4/mmm (123)

a b c (Å): 4.2185 4.1712 4.2185
angles (deg): 90.00 90.00 90.00
Fractional coordinates of all 5 atoms:
1 Cu 0.5000 0.0000 0.0000
2 Cu 0.0000 0.0000 0.5000
3 H 0.0000 0.0000 0.0000
4 Al 0.5000 0.5000 0.5000
5 Y 0.0000 0.5000 0.0000

***

Compound: Ac3Sm
Source: Alexandria
Functional: PBE
Structure: optimized geometry

SG   P6_3/mmc (194)
Relative energy among the computed polymorphs   0.018 eV per atom

a b c (Å): 7.8837 7.8837 6.3104
angles (deg): 90.00 90.00 120.00
Fractional coordinates of all 8 atoms:
1 Ac 0.8309 0.6619 0.7500
2 Ac 0.1691 0.3381 0.2500
3 Ac 0.1691 0.8309 0.2500
4 Ac 0.3381 0.1691 0.7500
5 Ac 0.6619 0.8309 0.2500
6 Ac 0.8309 0.1691 0.7500
7 Sm 0.6667 0.3333 0.2500
8 Sm 0.3333 0.6667 0.7500

***

Compound: KMgSb
Source: Alexandria
Functional: PBE
Structure: optimized geometry

SG   Fddd (70)
ΔE_f (raw)   -0.364 eV per atom

a b c (Å): 8.9045 9.1963 7.4963
angles (deg): 63.52 67.58 48.90
Fractional coordinates of all 12 atoms:
1 K 0.8581 0.8581 0.6419
2 K 0.1081 0.1081 0.8919
3 K 0.8919 0.8919 0.1081
4 K 0.6419 0.6419 0.8581
5 Sb 0.4550 0.0450 0.0450
6 Sb 0.0450 0.4550 0.4550
7 Sb 0.7050 0.2950 0.2950
8 Sb 0.2950 0.7050 0.7050
9 Mg 0.6262 0.6262 0.3738
10 Mg 0.1238 0.1238 0.3762
11 Mg 0.3738 0.3738 0.6262
12 Mg 0.3762 0.3762 0.1238

***

Compound: RbTe3Au3
Source: Alexandria
Functional: PBE
Structure: optimized geometry

SG   P6_3/m (176)
ΔE_f (raw)   -0.170 eV per atom
Relative energy among the computed polymorphs   0.139 eV per atom

a b c (Å): 4.0690 10.4888 10.4888
angles (deg): 120.00 90.00 90.00
Fractional coordinates of all 14 atoms:
1 Au 0.7500 0.1561 0.2203
2 Au 0.2500 0.8439 0.7797
3 Au 0.7500 0.7797 0.9358
4 Au 0.2500 0.2203 0.0642
5 Au 0.7500 0.0642 0.8439
6 Au 0.2500 0.9358 0.1561
7 Te 0.2500 0.0303 0.6378
8 Te 0.7500 0.9697 0.3622
9 Te 0.7500 0.6378 0.6076
10 Te 0.2500 0.6076 0.9697
11 Te 0.2500 0.3622 0.3924
12 Te 0.7500 0.3924 0.0303
13 Rb 0.2500 0.6667 0.3333
14 Rb 0.7500 0.3333 0.6667

***

Compound: NaAl3Ni
Source: Alexandria
Functional: PBE
Structure: optimized geometry

SG   Pm-3m (221)
Relative energy among the computed polymorphs   0.000 eV per atom

a b c (Å): 4.5790 4.5790 4.5790
angles (deg): 90.00 90.00 90.00
Fractional coordinates of all 5 atoms:
1 Al 0.0000 0.5000 0.0000
2 Al 0.5000 0.0000 0.0000
3 Al 0.0000 0.0000 0.5000
4 Na 0.5000 0.5000 0.5000
5 Ni 0.0000 0.0000 0.0000

***

Compound: PrBPd6
Source: Alexandria
Functional: PBE
Structure: optimized geometry

SG   R-3m (166)

a b c (Å): 5.6940 5.6940 5.9928
angles (deg): 61.64 61.64 60.00
Fractional coordinates of all 8 atoms:
1 B 0.0000 0.0000 0.0000
2 Pd 0.5753 0.0953 0.2342
3 Pd 0.0953 0.0953 0.2342
4 Pd 0.9047 0.9047 0.7658
5 Pd 0.0953 0.5753 0.2342
6 Pd 0.9047 0.4247 0.7658
7 Pd 0.4247 0.9047 0.7658
8 Pr 0.5000 0.5000 0.5000

***

Compound: Tb2YTh3Se6
Source: Alexandria
Functional: PBE
Structure: optimized geometry

SG   C2/m (12)
ΔE_f (raw)   -1.646 eV per atom

a b c (Å): 6.9582 6.9582 7.5520
angles (deg): 98.81 98.81 119.63
Fractional coordinates of all 12 atoms:
1 Th 0.1671 0.8329 0.5000
2 Th 0.8329 0.1671 0.5000
3 Th 0.5000 0.5000 0.5000
4 Se 0.7459 0.7459 0.2353
5 Se 0.9218 0.5891 0.7654
6 Se 0.5891 0.9218 0.7654
7 Se 0.2541 0.2541 0.7647
8 Se 0.4109 0.0782 0.2346
9 Se 0.0782 0.4109 0.2346
10 Tb 0.6665 0.3335 0.0000
11 Tb 0.3335 0.6665 0.0000
12 Y 0.0000 0.0000 0.0000

***

Compound: LiScCd6
Source: Alexandria
Functional: PBE
Structure: optimized geometry

SG   P4/mmm (123)
Relative energy among the computed polymorphs   0.000 eV per atom

a b c (Å): 4.4452 4.4452 8.6460
angles (deg): 90.00 90.00 90.00
Fractional coordinates of all 8 atoms:
1 Sc 0.0000 0.0000 0.0000
2 Cd 0.5000 0.5000 0.0000
3 Cd 0.5000 0.0000 0.7441
4 Cd 0.0000 0.5000 0.2559
5 Cd 0.5000 0.5000 0.5000
6 Cd 0.5000 0.0000 0.2559
7 Cd 0.0000 0.5000 0.7441
8 Li 0.0000 0.0000 0.5000

***

Compound: YCo6
Source: Alexandria
Functional: PBE
Structure: optimized geometry

SG   Pnma (62)
Relative energy among the computed polymorphs   0.000 eV per atom

a b c (Å): 4.8189 7.8330 9.8106
angles (deg): 90.00 90.00 90.00
Each line ends with the local moment (μB).
Fractional coordinates of all 28 atoms:
1 Co 0.2500 0.0656 0.9079  1.45
2 Co 0.7500 0.8595 0.8536  1.74
3 Co 0.0105 0.4305 0.1919  1.53
4 Co 0.2500 0.8164 0.7556  1.60
5 Co 0.7500 0.4344 0.4079  1.45
6 Co 0.2500 0.5656 0.5921  1.45
7 Co 0.9895 0.5695 0.8081  1.53
8 Co 0.7500 0.0898 0.4773  1.50
9 Co 0.2500 0.6405 0.3536  1.74
10 Co 0.0105 0.9305 0.3081  1.53
11 Co 0.2500 0.4102 0.9773  1.50
12 Co 0.4895 0.4305 0.1919  1.53
13 Co 0.9895 0.0695 0.6919  1.53
14 Co 0.5105 0.5695 0.8081  1.53
15 Co 0.7500 0.9344 0.0921  1.45
16 Co 0.2500 0.1405 0.1464  1.74
17 Co 0.7500 0.6836 0.2556  1.60
18 Co 0.5105 0.0695 0.6919  1.53
19 Co 0.2500 0.9102 0.5227  1.50
20 Co 0.7500 0.5898 0.0227  1.50
21 Co 0.7500 0.3595 0.6464  1.74
22 Co 0.4895 0.9305 0.3081  1.53
23 Co 0.2500 0.3164 0.7444  1.60
24 Co 0.7500 0.1836 0.2444  1.60
25 Y 0.2500 0.2612 0.4408  -0.22
26 Y 0.2500 0.7612 0.0592  -0.22
27 Y 0.7500 0.2388 0.9408  -0.22
28 Y 0.7500 0.7388 0.5592  -0.22

***

Values for V, Å³/cell, ordered as above
428.5; 45.6; 84.2; 74.2; 339.7; 410.5; 387.7; 96.0; 140.7; 302.7; 170.8; 370.3
Values for total DFT energy (no corrections), hartree per atom, ordered as above
-0.2226; -0.4273; -0.1765; -0.1626; -0.1550; -0.0968; -0.1124; -0.1377; -0.2110; -0.2408; -0.0696; -0.2600
Values for D(E_F), states/eV/f.u., ordered as above
22.0; 2.7; 3.8; 2.6; 6.5; 0.0; 3.6; 2.5; 4.9; 8.0; 5.2; 8.4